Material: YZr
Method: DFT, SCAN
State: PBEsol geometry

Lattice parameters (Å, degrees): 5.1060 5.2495 5.2495 120.00 90.00 90.00
Fractional positions:
1 Y 0.7500 0.6667 0.3333
2 Y 0.2500 0.3333 0.6667
3 Zr 0.0000 0.0000 0.0000
4 Zr 0.5000 0.0000 0.0000

Properties
The calculation puts the relative energy among the computed polymorphs at 0.727 eV per atom. The value obtained for the spin magnetization is 0.000 μB per atom. Its space group is P6_3/mmc (194).